(1)
AlCdNi2 | Alexandria | PBE | relaxed; space group = No. 12; DOS(E_F) = 2.4 states/eV/cell; energy = -4.15 eV per atom; energy of formation = -96.0 meV/atom
1.0
3.9790 -1.4072 0.0000
3.9790 1.4072 0.0000
-0.9761 0.0000 5.1864
Al Cd Ni
1 1 2
direct
0.0000 0.0000 0.0000 Al
0.5000 0.5000 0.5000 Cd
0.2597 0.2597 0.7984 Ni
0.7403 0.7403 0.2016 Ni

***

(2)
PuCd2Sb2 | Alexandria | PBE | relaxed; space group = No. 63; DOS(E_F) = 21.2 states/eV/cell; energy = -5.19 eV per atom; raw formation energy = -1.55 eV per formula unit
1.0
2.2017 -12.7761 0.0000
2.2017 12.7761 0.0000
0.0000 0.0000 4.4176
Pu Cd Sb
2 4 4
direct
0.1550 0.8450 0.7500 Pu
0.8450 0.1550 0.2500 Pu
0.0418 0.9582 0.2500 Cd
0.4547 0.5453 0.2500 Cd
0.5453 0.4547 0.7500 Cd
0.9582 0.0418 0.7500 Cd
0.2500 0.7500 0.2500 Sb
0.3680 0.6320 0.7500 Sb
0.6320 0.3680 0.2500 Sb
0.7500 0.2500 0.7500 Sb

***

(3)
VNiGe | Alexandria | PBE | relaxed; space group = No. 62; DOS(E_F) = 8.1 states/eV/cell; energy = -6.83 eV per atom; energy of formation = -326.6 meV/atom
1.0
6.1105 0.0000 0.0000
0.0000 3.6192 0.0000
0.0000 0.0000 7.1282
V Ni Ge
4 4 4
direct
0.0290 0.2500 0.1632 V
0.4710 0.7500 0.6632 V
0.5290 0.2500 0.3368 V
0.9710 0.7500 0.8368 V
0.1474 0.2500 0.5585 Ni
0.3526 0.7500 0.0585 Ni
0.6474 0.2500 0.9415 Ni
0.8526 0.7500 0.4415 Ni
0.2321 0.7500 0.3670 Ge
0.2679 0.2500 0.8670 Ge
0.7321 0.7500 0.1330 Ge
0.7679 0.2500 0.6330 Ge

***

(4)
CeSiAs2 | Alexandria | PBE | relaxed; space group = No. 123; DOS(E_F) = 2.4 states/eV/cell; energy = -5.74 eV per atom; raw formation energy = -2.30 eV per formula unit
1.0
4.4321 0.0000 0.0000
0.0000 4.4321 0.0000
0.0000 0.0000 4.0312
Ce Si As
1 1 2
direct
0.0000 0.0000 0.0000 Ce
0.5000 0.5000 0.0000 Si
0.0000 0.5000 0.5000 As
0.5000 0.0000 0.5000 As

***

(5)
SrBe2SiN | Alexandria | PBE | relaxed; space group = No. 123; DOS(E_F) = 7.5 states/eV/cell; energy = -1.44 eV per atom; raw formation energy = 15.70 eV per formula unit
1.0
5.4755 0.0000 0.0000
0.0000 5.4755 0.0000
0.0000 0.0000 5.7750
Sr Be Si N
1 2 1 1
direct
0.0000 0.0000 0.0000 Sr
0.0000 0.5000 0.0000 Be
0.5000 0.0000 0.0000 Be
0.0000 0.0000 0.5000 Si
0.5000 0.5000 0.5000 N

***

(6)
AlIr2Se | Alexandria | PBE | relaxed; space group = No. 122; energy above the most stable polymorph in this dataset = 0.389 eV/atom; DOS(E_F) = 3.2 states/eV/cell; energy = -6.03 eV per atom; raw formation energy = 0.85 eV per formula unit
1.0
-2.6647 2.6647 5.9431
2.6647 -2.6647 5.9431
2.6647 2.6647 -5.9431
Al Ir Se
2 4 2
direct
0.0000 0.0000 0.0000 Al
0.7500 0.2500 0.5000 Al
0.1338 0.6250 0.0088 Ir
0.3750 0.3838 0.5088 Ir
0.6162 0.1250 0.9912 Ir
0.8750 0.8662 0.4912 Ir
0.2500 0.7500 0.5000 Se
0.5000 0.5000 0.0000 Se

***

Please write out number 1 again, unchanged.
AlCdNi2 | Alexandria | PBE | relaxed; space group = No. 12; DOS(E_F) = 2.4 states/eV/cell; energy = -4.15 eV per atom; energy of formation = -96.0 meV/atom
1.0
3.9790 -1.4072 0.0000
3.9790 1.4072 0.0000
-0.9761 0.0000 5.1864
Al Cd Ni
1 1 2
direct
0.0000 0.0000 0.0000 Al
0.5000 0.5000 0.5000 Cd
0.2597 0.2597 0.7984 Ni
0.7403 0.7403 0.2016 Ni